RbFe2WO8: optimized geometry, PBE+U.

Computed properties:
Space group: P-3
DFT total energy (eV per atom): -6.15

a = 5.5107 Å, b = 5.5107 Å, c = 7.9561 Å
α = 90.00°, β = 90.00°, γ = 120.00°
With the nearest neighbours (Å) after each atom.
Element x y z (fractional)
Rb 0.0000 0.0000 0.0000  12 O 3.24-3.26
Fe 0.6667 0.3333 0.2863  4 O 1.69-1.83
Fe 0.3333 0.6667 0.7137  4 O 1.69-1.83
W 0.0000 0.0000 0.5000  6 O 1.94
O 0.3333 0.6667 0.9260  1 Fe 1.69
O 0.3152 0.2423 0.3584  1 Fe 1.83, 1 W 1.94
O 0.7577 0.0729 0.3584  1 Fe 1.83, 1 W 1.94
O 0.6667 0.3333 0.0740  1 Fe 1.69
O 0.2423 0.9271 0.6416  1 Fe 1.83, 1 W 1.94
O 0.6848 0.7577 0.6416  1 Fe 1.83, 1 W 1.94
O 0.0729 0.3152 0.6416  1 Fe 1.83, 1 W 1.94
O 0.9271 0.6848 0.3584  1 Fe 1.83, 1 W 1.94